Mn2InO: relaxed, PBE+U.

abc: 6.359 6.359 5.983
angles: 57.90 57.90 90.00
Last column: magnetic moment on the atom in μB.
Fractional positions:
O1 0.500 0.500 0.000  0.04
Mn1 0.240 0.625 0.250  4.52
In1 0.000 0.000 0.000  -0.09
In2 0.750 0.250 0.500  -0.09
Mn2 0.875 0.760 0.750  4.52
Mn3 0.510 0.125 0.250  4.53
O2 0.250 0.750 0.500  0.04
Mn4 0.375 0.490 0.750  4.52

N(E_F)	3.82	states/eV/cell
distance to the lowest polymorph of the same formula	0.0	meV/atom
magnetic moment	18.70	Bohr magnetons per cell